A geometry-optimized ZrScCd2 structure. Source: the Alexandria database, functional PBE.

a = 4.9919 Å, b = 4.9919 Å, c = 4.9919 Å
α = 60.00°, β = 60.00°, γ = 60.00°
With the nearest neighbours (Å) after each atom.
Fractional positions:
Zr1 0.0000 0.0000 0.0000  8 Cd 3.06
Sc1 0.5000 0.5000 0.5000  8 Cd 3.06
Cd1 0.2500 0.2500 0.2500  4 Zr 3.06, 4 Sc 3.06
Cd2 0.7500 0.7500 0.7500  4 Zr 3.06, 4 Sc 3.06

## Properties
Space-group type: Fm-3m
Crystal system: cubic
ΔE to the lowest computed polymorph (meV per atom): 22
E_form (eV/atom): -0.153